Entry from Alexandria: a relaxed Pr2Nd5Bi5 crystal (PBE).

## Properties
* total DFT energy (no corrections): -5.08 eV/atom
* crystal system: monoclinic

```
data_Pr2Nd5Bi5
_chemical_formula_sum 'Pr4 Nd10 Bi10'
_cell_length_a 14.962
_cell_length_b 4.561
_cell_length_c 13.326
_cell_angle_alpha 90.00
_cell_angle_beta 108.42
_cell_angle_gamma 90.00
_space_group_name_H-M_alt 'C 1 2/m 1'
_space_group_IT_number 12
loop_
_space_group_symop_operation_xyz
'x,y,z'
'-x,-y,-z'
'-x,y,-z'
'x,-y,z'
'x+1/2,y+1/2,z'
'-x+1/2,-y+1/2,-z'
'-x+1/2,y+1/2,-z'
'x+1/2,-y+1/2,z'
loop_
_atom_site_label
_atom_site_type_symbol
_atom_site_fract_x
_atom_site_fract_y
_atom_site_fract_z
_atom_site_occupancy
Pr1 Pr 0.040 0.000 0.282 1
Nd1 Nd 0.000 0.500 0.000 1
Nd2 Nd 0.160 0.500 0.539 1
Nd3 Nd 0.223 0.500 0.843 1
Bi1 Bi 0.000 0.000 0.500 1
Bi2 Bi 0.123 0.000 0.936 1
Bi3 Bi 0.196 0.500 0.294 1
```

***

Entry from Alexandria: a relaxed PrNd3Bi2 crystal (PBE).

## Properties
* energy above the lowest structure with this stoichiometry: 0.00 kJ per mole of atoms
* total DFT energy (no corrections): -5.13 eV/atom
* crystal system: tetragonal

```
data_PrNd3Bi2
_chemical_formula_sum 'Pr1 Nd3 Bi2'
_cell_length_a 4.676
_cell_length_b 4.676
_cell_length_c 9.062
_cell_angle_alpha 90.00
_cell_angle_beta 90.00
_cell_angle_gamma 90.00
_space_group_name_H-M_alt 'P -4 m 2'
_space_group_IT_number 115
loop_
_space_group_symop_operation_xyz
'x,y,z'
'y,-x,-z'
'-x,-y,z'
'-y,x,-z'
'-x,y,z'
'-y,-x,-z'
'x,-y,z'
'y,x,-z'
loop_
_atom_site_label
_atom_site_type_symbol
_atom_site_fract_x
_atom_site_fract_y
_atom_site_fract_z
_atom_site_occupancy
Pr1 Pr 0.000 0.000 0.000 1
Nd1 Nd 0.000 0.500 0.354 1
Nd2 Nd 0.500 0.500 0.000 1
Bi1 Bi 0.000 0.500 0.718 1
```

***

Entry from Alexandria: a relaxed Pr3Nd5Bi8 crystal (PBE).

## Properties
* total DFT energy (no corrections): -5.28 eV/atom
* crystal system: trigonal

```
data_Pr3Nd5Bi8
_chemical_formula_sum 'Pr9 Nd15 Bi24'
_cell_length_a 9.2440
_cell_length_b 9.2440
_cell_length_c 22.6448
_cell_angle_alpha 90.00
_cell_angle_beta 90.00
_cell_angle_gamma 120.00
_space_group_name_H-M_alt 'R -3 m'
_space_group_IT_number 166
_space_group_name_Hall '-R 3 2"'
loop_
_atom_site_label
_atom_site_type_symbol
_atom_site_fract_x
_atom_site_fract_y
_atom_site_fract_z
_atom_site_occupancy
Pr1 Pr 0.0000 0.5000 0.0000 1
Nd1 Nd 0.0000 0.0000 0.0000 1
Nd2 Nd 0.0000 0.0000 0.5000 1
Nd3 Nd 0.0000 0.5000 0.5000 1
Bi1 Bi 0.0000 0.0000 0.2493 1
Bi2 Bi 0.0009 0.5004 0.7504 1
```

***

| no. | D(E_F) (states/eV/cell) |
| --- | --- |
| 1 | 20.455 |
| 2 | 6.047 |
| 3 | 6.718 |